BaGd2Os | PBE | optimized geometry

a b c (Å): 3.513 3.513 10.260
angles (deg): 90.00 90.00 90.00
Element x y z (fractional)
Ba1 0.000 0.000 0.000
Gd1 0.500 0.500 0.341
Gd2 0.500 0.500 0.659
Os1 0.000 0.000 0.500

## Properties
Energy of formation   -0.024 eV per atom
V   126.59 Å³ per cell
Space-group type   P4/mmm (123)
Spin magnetization   14.05 Bohr magnetons per cell